# Y2TaRu

A relaxed structure of Y2TaRu (PBE, Alexandria via LeMat-Bulk).

Summary:
Energy relative to the elements ... 0.165 eV/atom
Energy above the lowest structure with this stoichiometry ... 274 meV/atom
Theoretical density ... 8.82 g/cm³

Cell and atoms, written as CIF:
```
data_Y2TaRu
_symmetry_space_group_name_H-M 'I m m m'
_symmetry_Int_Tables_number 71
_symmetry_space_group_name_Hall '-I 2 2'
_cell_length_a 3.446
_cell_length_b 4.865
_cell_length_c 10.323
_cell_angle_alpha 90.00
_cell_angle_beta 90.00
_cell_angle_gamma 90.00
loop_
_atom_site_label
_atom_site_type_symbol
_atom_site_fract_x
_atom_site_fract_y
_atom_site_fract_z
Y1 Y 0.000 0.000 0.212
Ta1 Ta 0.000 0.500 0.000
Ru1 Ru 0.000 0.500 0.500
```


# La2DyCd

A relaxed structure of La2DyCd (PBE, Alexandria via LeMat-Bulk).

Summary:
Energy relative to the elements ... -0.047 eV/atom
Energy above the lowest structure with this stoichiometry ... 108 meV/atom
Theoretical density ... 6.95 g/cm³

Cell and atoms, written as CIF:
```
data_La2DyCd
_symmetry_space_group_name_H-M 'R 3 m'
_symmetry_Int_Tables_number 160
_symmetry_space_group_name_Hall 'R 3 -2"'
_cell_length_a 3.6899
_cell_length_b 3.6899
_cell_length_c 33.6050
_cell_angle_alpha 90.00
_cell_angle_beta 90.00
_cell_angle_gamma 120.00
loop_
_atom_site_label
_atom_site_type_symbol
_atom_site_fract_x
_atom_site_fract_y
_atom_site_fract_z
La1 La 0.0000 0.0000 0.0000
La2 La 0.0000 0.0000 0.1738
Dy1 Dy 0.0000 0.0000 0.4199
Cd1 Cd 0.0000 0.0000 0.5872
```


# NdEr6In4

A relaxed structure of NdEr6In4 (PBE, Alexandria via LeMat-Bulk).

Summary:
Energy relative to the elements ... -0.290 eV/atom
Theoretical density ... 8.25 g/cm³

Cell and atoms, written as CIF:
```
data_NdEr6In4
_symmetry_space_group_name_H-M 'P -6 m 2'
_symmetry_Int_Tables_number 187
_symmetry_space_group_name_Hall 'P -6 2'
_cell_length_a 10.0290
_cell_length_b 10.0290
_cell_length_c 3.7119
_cell_angle_alpha 90.00
_cell_angle_beta 90.00
_cell_angle_gamma 120.00
loop_
_atom_site_label
_atom_site_type_symbol
_atom_site_fract_x
_atom_site_fract_y
_atom_site_fract_z
Nd1 Nd 0.0000 0.0000 0.0000
Er1 Er 0.1907 0.3814 0.5000
Er2 Er 0.5368 0.0735 0.0000
In1 In 0.3287 0.1643 0.5000
In2 In 0.3333 0.6667 0.0000
```


# Li2CaI

A relaxed structure of Li2CaI (PBE, Alexandria via LeMat-Bulk).

Summary:
Energy above the lowest structure with this stoichiometry ... 286 meV/atom
Theoretical density ... 2.58 g/cm³
ΔE_f (raw) ... -0.064 eV per atom

Cell and atoms, written as CIF:
```
data_Li2CaI
_symmetry_space_group_name_H-M 'F m -3 m'
_symmetry_Int_Tables_number 225
_symmetry_space_group_name_Hall '-F 4 2 3'
_cell_length_a 7.748
_cell_length_b 7.748
_cell_length_c 7.748
_cell_angle_alpha 90.00
_cell_angle_beta 90.00
_cell_angle_gamma 90.00
loop_
_atom_site_label
_atom_site_type_symbol
_atom_site_fract_x
_atom_site_fract_y
_atom_site_fract_z
Li1 Li 0.250 0.250 0.250
Ca1 Ca 0.000 0.000 0.000
I1 I 0.000 0.000 0.500
```


# Pr4SmDy7

A relaxed structure of Pr4SmDy7 (PBE, Alexandria via LeMat-Bulk).

Summary:
Energy relative to the elements ... 0.086 eV/atom
Energy above the lowest structure with this stoichiometry ... 0 meV/atom
Theoretical density ... 7.64 g/cm³

Cell and atoms, written as CIF:
```
data_Pr4SmDy7
_symmetry_space_group_name_H-M 'P -1'
_symmetry_Int_Tables_number 2
_cell_length_a 6.612
_cell_length_b 6.898
_cell_length_c 9.154
_cell_angle_alpha 84.85
_cell_angle_beta 77.20
_cell_angle_gamma 81.79
loop_
_symmetry_equiv_pos_as_xyz
'x,y,z'
'-x,-y,-z'
loop_
_atom_site_label
_atom_site_type_symbol
_atom_site_fract_x
_atom_site_fract_y
_atom_site_fract_z
Pr1 Pr 0.140 0.310 0.284
Pr2 Pr 0.335 0.888 0.692
Sm1 Sm 0.500 0.500 0.000
Dy1 Dy 0.012 0.251 0.950
Dy2 Dy 0.181 0.802 0.358
Dy3 Dy 0.313 0.396 0.616
Dy4 Dy 0.500 0.000 0.000
```


# VCr2PtN

A relaxed structure of VCr2PtN (PBE, Alexandria via LeMat-Bulk).

Summary:
Theoretical density ... 10.27 g/cm³
ΔE_f (raw) ... -0.513 eV per atom

Cell and atoms, written as CIF:
```
data_VCr2PtN
_symmetry_space_group_name_H-M 'P 4/m m m'
_symmetry_Int_Tables_number 123
_symmetry_space_group_name_Hall '-P 4 2'
_cell_length_a 3.874
_cell_length_b 3.874
_cell_length_c 3.924
_cell_angle_alpha 90.00
_cell_angle_beta 90.00
_cell_angle_gamma 90.00
loop_
_atom_site_label
_atom_site_type_symbol
_atom_site_fract_x
_atom_site_fract_y
_atom_site_fract_z
V1 V 0.000 0.000 0.000
Cr1 Cr 0.000 0.500 0.500
Pt1 Pt 0.500 0.500 0.000
N1 N 0.000 0.000 0.500
```


# Ga2PbW

A relaxed structure of Ga2PbW (PBE, Alexandria via LeMat-Bulk).

Summary:
Energy relative to the elements ... 0.733 eV/atom
Theoretical density ... 10.30 g/cm³

Cell and atoms, written as CIF:
```
data_Ga2PbW
_symmetry_space_group_name_H-M 'I -4 2 d'
_symmetry_Int_Tables_number 122
_symmetry_space_group_name_Hall 'I -4 2bw'
_cell_length_a 4.277
_cell_length_b 4.277
_cell_length_c 18.699
_cell_angle_alpha 90.00
_cell_angle_beta 90.00
_cell_angle_gamma 90.00
loop_
_atom_site_label
_atom_site_type_symbol
_atom_site_fract_x
_atom_site_fract_y
_atom_site_fract_z
Ga1 Ga 0.167 0.250 0.125
Pb1 Pb 0.000 0.000 0.500
W1 W 0.000 0.000 0.000
```


# RbNbPd2Ru

A relaxed structure of RbNbPd2Ru (PBE, Alexandria via LeMat-Bulk).

Summary:
Energy relative to the elements ... 0.755 eV/atom
Theoretical density ... 6.65 g/cm³

Cell and atoms, written as CIF:
```
data_RbNbPd2Ru
_symmetry_space_group_name_H-M 'P 4/m m m'
_symmetry_Int_Tables_number 123
_symmetry_space_group_name_Hall '-P 4 2'
_cell_length_a 5.117
_cell_length_b 5.117
_cell_length_c 4.696
_cell_angle_alpha 90.00
_cell_angle_beta 90.00
_cell_angle_gamma 90.00
loop_
_atom_site_label
_atom_site_type_symbol
_atom_site_fract_x
_atom_site_fract_y
_atom_site_fract_z
Rb1 Rb 0.000 0.000 0.000
Nb1 Nb 0.500 0.500 0.500
Pd1 Pd 0.000 0.500 0.500
Ru1 Ru 0.500 0.500 0.000
```